A) A plane-wave DFT calculation with GGA-PBE was carried out for a geometry-optimized TaMoHIr2 structure.

Geometry as POSCAR:
```
TaMoHIr2
1.0
3.9654 0.0000 0.0000
0.0000 3.9654 0.0000
0.0000 0.0000 4.0827
Ir H Mo Ta
2 1 1 1
direct
0.0000 0.5000 0.0000
0.5000 0.0000 0.0000
0.0000 0.0000 0.0000
0.0000 0.0000 0.5000
0.5000 0.5000 0.5000
```


B) A plane-wave DFT calculation with GGA-PBE was carried out for a geometry-optimized TaMoHIr2 structure.

Geometry as POSCAR:
```
TaMoHIr2
1.0
-3.1360 -2.4010 -0.1455
1.8924 -2.6258 2.5427
-1.5760 1.8705 3.1045
H Ta Ir Mo
1 1 2 1
direct
0.0000 0.0000 0.0000
0.0000 0.5000 0.0000
0.5000 0.0000 0.0000
0.0000 0.0000 0.5000
0.5000 0.5000 0.5000
```


Stability verdict: A), ahead by 3.7 kJ/mol of atoms


A) A plane-wave DFT calculation with GGA-PBE was carried out for a geometry-optimized TcMoHIr2 structure.

Geometry as POSCAR:
```
TcMoHIr2
1.0
-2.4221 -2.8721 0.9987
2.5527 -2.6143 -1.3276
1.7236 -0.1787 3.6662
Tc Mo Ir H
1 1 2 1
direct
0.5000 0.5000 0.5000
0.0000 0.0000 0.5000
0.5000 0.0000 0.0000
0.0000 0.5000 0.0000
0.0000 0.0000 0.0000
```


B) A plane-wave DFT calculation with GGA-PBE was carried out for a geometry-optimized TcMoHIr2 structure.

Geometry as POSCAR:
```
TcMoHIr2
1.0
-2.1058 -3.0082 -1.3077
2.0532 0.0030 -3.3133
2.6431 -2.5613 1.6356
Tc Ir Mo H
1 2 1 1
direct
0.0000 0.0000 0.5000
0.5000 0.0000 0.0000
0.0000 0.5000 0.0000
0.5000 0.5000 0.5000
0.0000 0.0000 0.0000
```


Stability verdict: B), ahead by 3.3 kJ/mol of atoms


A) A plane-wave DFT calculation with GGA-PBE was carried out for a geometry-optimized VMoHIr2 structure.

Geometry as POSCAR:
```
VMoHIr2
1.0
-1.8608 -0.2782 4.4126
0.9302 -2.7949 0.2160
4.1552 1.5258 1.8485
H Mo V Ir
1 1 1 2
direct
0.0000 0.5000 0.0000
0.5000 0.5000 0.5000
0.0000 0.0000 0.0000
0.5000 0.0000 0.0000
0.0000 0.0000 0.5000
```


B) A plane-wave DFT calculation with GGA-PBE was carried out for a geometry-optimized VMoHIr2 structure.

Geometry as POSCAR:
```
VMoHIr2
1.0
-1.7787 2.7886 2.0469
1.4859 -1.4625 3.2838
3.1901 2.3320 -0.4049
H V Ir Mo
1 1 2 1
direct
0.0000 0.0000 0.0000
0.0000 0.0000 0.5000
0.5000 0.0000 0.0000
0.0000 0.5000 0.0000
0.5000 0.5000 0.5000
```


Stability verdict: B), ahead by 78.5 kJ/mol of atoms


A) A plane-wave DFT calculation with GGA-PBE was carried out for a geometry-optimized Zr2MoHIr structure.

Geometry as POSCAR:
```
Zr2MoHIr
1.0
4.6538 0.0000 0.0000
0.0000 4.6538 0.0000
0.0000 0.0000 3.5272
Zr H Ir Mo
2 1 1 1
direct
0.5000 0.0000 0.0000
0.0000 0.5000 0.0000
0.0000 0.0000 0.0000
0.0000 0.0000 0.5000
0.5000 0.5000 0.5000
```


B) A plane-wave DFT calculation with GGA-PBE was carried out for a geometry-optimized Zr2MoHIr structure.

Geometry as POSCAR:
```
Zr2MoHIr
1.0
4.6565 0.0000 0.0000
0.0000 3.4994 0.0000
0.0000 0.0000 4.6565
Zr Ir H Mo
2 1 1 1
direct
0.5000 0.0000 0.0000
0.0000 0.0000 0.5000
0.5000 0.5000 0.5000
0.0000 0.0000 0.0000
0.0000 0.5000 0.0000
```


Stability verdict: B), ahead by 6.4 kJ/mol of atoms


A) A plane-wave DFT calculation with GGA-PBE was carried out for a geometry-optimized HIrN2 structure.

Geometry as POSCAR:
```
HIrN2
1.0
1.8168 0.0000 4.4426
-0.9084 1.5734 4.4426
-0.9084 -1.5734 4.4426
N H Ir
2 1 1
direct
0.9052 0.9052 0.9052
0.0948 0.0948 0.0948
0.0000 0.0000 0.0000
0.5000 0.5000 0.5000
```


B) A plane-wave DFT calculation with GGA-PBE was carried out for a geometry-optimized HIrN2 structure.

Geometry as POSCAR:
```
HIrN2
1.0
2.5645 -2.2801 0.7563
1.4046 -0.0596 3.2204
-0.6350 -2.7108 2.1439
H N Ir
1 2 1
direct
0.0000 0.0000 0.0000
0.7500 0.7500 0.7500
0.2500 0.2500 0.2500
0.5000 0.5000 0.5000
```


Stability verdict: A), ahead by 89.1 kJ/mol of atoms


A) A plane-wave DFT calculation with GGA-PBE was carried out for a geometry-optimized HIrN2 structure.

Geometry as POSCAR:
```
HIrN2
1.0
1.6302 0.0000 4.9995
-0.8151 1.4118 4.9995
-0.8151 -1.4118 4.9995
H N Ir
1 2 1
direct
0.5000 0.5000 0.5000
0.8734 0.8734 0.8734
0.1266 0.1266 0.1266
0.0000 0.0000 0.0000
```


B) A plane-wave DFT calculation with GGA-PBE was carried out for a geometry-optimized HIrN2 structure.

Geometry as POSCAR:
```
HIrN2
1.0
-3.4550 2.0639 1.2617
-2.0333 -1.2862 -3.4640
-4.0997 -3.1759 1.0181
N H Ir
4 2 2
direct
0.1539 0.6250 0.2500
0.3750 0.4039 0.7500
0.8750 0.8461 0.7500
0.5961 0.1250 0.2500
0.5000 0.5000 0.0000
0.2500 0.7500 0.5000
0.7500 0.2500 0.5000
0.0000 0.0000 0.0000
```


Stability verdict: B), ahead by 52.9 kJ/mol of atoms


A) A plane-wave DFT calculation with GGA-PBE was carried out for a geometry-optimized TcHIrN structure.

Geometry as POSCAR:
```
TcHIrN
1.0
3.8861 0.0000 0.0006
0.0000 2.8094 0.0000
-0.3602 0.0000 7.6361
N H Tc Ir
2 2 2 2
direct
0.2997 0.0000 0.7577
0.2997 0.5000 0.2577
0.6687 0.5000 0.9622
0.6687 0.0000 0.4622
0.3259 0.5000 0.5737
0.3259 0.0000 0.0737
0.8100 0.5000 0.3194
0.8100 0.0000 0.8194
```


B) A plane-wave DFT calculation with GGA-PBE was carried out for a geometry-optimized TcHIrN structure.

Geometry as POSCAR:
```
TcHIrN
1.0
-1.4193 -5.2221 0.2304
2.7037 -0.7278 0.1590
0.4719 2.9347 5.4078
Tc N Ir H
2 2 2 2
direct
0.3413 0.5000 0.9869
0.3413 0.0000 0.4869
0.2013 0.0000 0.1429
0.2013 0.5000 0.6429
0.7945 0.0000 0.0947
0.7945 0.5000 0.5947
0.7673 0.0000 0.3637
0.7673 0.5000 0.8637
```


C) A plane-wave DFT calculation with GGA-PBE was carried out for a geometry-optimized TcHIrN structure.

Geometry as POSCAR:
```
TcHIrN
1.0
-0.3583 -2.1348 -1.6516
0.4772 -1.6900 2.0808
-5.0549 -0.0297 1.1350
H Tc N Ir
1 1 1 1
direct
0.5000 0.5000 0.2602
0.5000 0.5000 0.8160
0.0000 0.0000 0.6160
0.0000 0.0000 0.2036
```


Stability verdict: B), ahead by 4.0 kJ/mol of atoms